Below is an optimized crystal structure of Ba4Cu3PbO9, with properties calculated at the GGA-PBEsol level.

## Properties
* calculated volume: 522.44 Å³ per cell
* formation energy without anion corrections: -1.657 eV/atom
* E: -5.942 eV per atom
* DOS at the Fermi energy: 6.453 states/eV/cell

Unit cell a=8.054 b=8.054 c=8.054 alpha=90.00 beta=90.00 gamma=90.00
Atoms (fractional coordinates):
Ba1 0.250 0.250 0.250
Ba2 0.250 0.250 0.750
Ba3 0.250 0.750 0.250
Ba4 0.250 0.750 0.750
Ba5 0.750 0.250 0.250
Ba6 0.750 0.250 0.750
Ba7 0.750 0.750 0.250
Ba8 0.750 0.750 0.750
Cu1 0.000 0.000 0.500
Cu2 0.000 0.500 0.000
Cu3 0.000 0.500 0.500
Cu4 0.500 0.000 0.000
Cu5 0.500 0.000 0.500
Cu6 0.500 0.500 0.000
Pb1 0.000 0.000 0.000
Pb2 0.500 0.500 0.500
O1 0.000 0.000 0.271
O2 0.000 0.000 0.729
O3 0.000 0.250 0.500
O4 0.000 0.271 0.000
O5 0.000 0.729 0.000
O6 0.000 0.750 0.500
O7 0.229 0.500 0.500
O8 0.250 0.500 0.000
O9 0.271 0.000 0.000
O10 0.500 0.000 0.250
O11 0.500 0.000 0.750
O12 0.500 0.229 0.500
O13 0.500 0.500 0.229
O14 0.500 0.500 0.771
O15 0.500 0.771 0.500
O16 0.729 0.000 0.000
O17 0.750 0.500 0.000
O18 0.771 0.500 0.500


Below is an optimized crystal structure of Ba2YCu3Pb2O8, with properties calculated at the GGA-PBEsol level.

## Properties
* calculated volume: 238.51 Å³ per cell
* formation energy without anion corrections: -1.721 eV/atom
* E: -6.353 eV per atom
* DOS at the Fermi energy: 2.864 states/eV/cell
* polymorph energy (0 for the lowest one): 0.002 eV/atom

Unit cell a=3.851 b=3.820 c=16.215 alpha=90.00 beta=91.44 gamma=90.00
Atoms (fractional coordinates):
Ba1 0.025 0.000 0.223
Ba2 0.975 0.000 0.777
Y1 0.000 0.000 0.000
Cu1 0.000 0.000 0.500
Cu2 0.489 0.500 0.903
Cu3 0.511 0.500 0.097
Pb1 0.482 0.500 0.607
Pb2 0.518 0.500 0.393
O1 0.010 0.500 0.088
O2 0.124 0.000 0.392
O3 0.470 0.500 0.742
O4 0.491 0.000 0.913
O5 0.509 0.000 0.087
O6 0.530 0.500 0.258
O7 0.876 0.000 0.608
O8 0.990 0.500 0.912


Question: What is the E in the first record?
Answer: -5.942 eV per atom


Question: Which value of E does entry 2 give?
Answer: -6.353 eV per atom


Question: Look up the formation energy without anion corrections of the first one.
Answer: -1.657 eV/atom


Repeat the second record exactly.
Below is an optimized crystal structure of Ba2YCu3Pb2O8, with properties calculated at the GGA-PBEsol level.

## Properties
* calculated volume: 238.51 Å³ per cell
* formation energy without anion corrections: -1.721 eV/atom
* E: -6.353 eV per atom
* DOS at the Fermi energy: 2.864 states/eV/cell
* polymorph energy (0 for the lowest one): 0.002 eV/atom

Unit cell a=3.851 b=3.820 c=16.215 alpha=90.00 beta=91.44 gamma=90.00
Atoms (fractional coordinates):
Ba1 0.025 0.000 0.223
Ba2 0.975 0.000 0.777
Y1 0.000 0.000 0.000
Cu1 0.000 0.000 0.500
Cu2 0.489 0.500 0.903
Cu3 0.511 0.500 0.097
Pb1 0.482 0.500 0.607
Pb2 0.518 0.500 0.393
O1 0.010 0.500 0.088
O2 0.124 0.000 0.392
O3 0.470 0.500 0.742
O4 0.491 0.000 0.913
O5 0.509 0.000 0.087
O6 0.530 0.500 0.258
O7 0.876 0.000 0.608
O8 0.990 0.500 0.912